Hf2HAu2: optimized geometry, GGA-PBE.

extended XYZ file:
```
10
Lattice="6.141 0.000 0.000 0.000 6.141 0.000 0.000 0.000 4.652" Properties=species:S:1:pos:R:3 pbc="T T T"
Hf 2.037 5.108 0.000
Hf 1.033 2.037 0.000
Hf 5.108 4.104 0.000
Hf 4.104 1.033 0.000
H 0.000 0.000 0.000
H 3.071 3.071 0.000
Au 2.099 0.972 2.326
Au 0.972 4.042 2.326
Au 4.042 5.170 2.326
Au 5.170 2.099 2.326
```

HfHAu2: optimized geometry, GGA-PBE.

extended XYZ file:
```
8
Lattice="7.056 0.000 0.000 0.000 7.056 0.000 3.528 3.528 2.500" Properties=species:S:1:pos:R:3 pbc="T T T"
Au 4.701 1.764 0.625
Au 5.292 5.883 1.875
Au 8.820 8.229 1.875
Au 2.355 5.292 0.625
H 3.528 3.528 0.000
H 3.528 7.056 1.250
Hf 0.000 0.000 0.000
Hf 7.056 3.528 1.250
```

Hf4HAu: optimized geometry, GGA-PBE.

extended XYZ file:
```
12
Lattice="-2.999 0.080 -5.234 -4.285 -0.131 3.395 3.555 6.849 1.073" Properties=species:S:1:pos:R:3 pbc="T T T"
H -4.429 2.924 -2.162
H 0.700 3.874 1.396
Hf 1.325 6.351 -0.173
Hf 0.014 6.261 3.075
Hf 0.664 2.613 -0.242
Hf -1.499 4.176 1.492
Hf -5.053 0.447 -0.593
Hf -2.230 2.622 -2.257
Hf -3.743 0.537 -3.840
Hf -4.393 4.185 -0.523
Au -0.812 4.915 -1.198
Au -2.917 1.883 0.433
```

HfHAu3: optimized geometry, GGA-PBE.

extended XYZ file:
```
5
Lattice="4.293 0.000 0.000 0.000 4.293 0.000 0.000 0.000 4.293" Properties=species:S:1:pos:R:3 pbc="T T T"
H 0.000 0.000 0.000
Au 2.147 0.000 0.000
Au 0.000 0.000 2.147
Au 0.000 2.147 0.000
Hf 2.147 2.147 2.147
```

HfH2Au: optimized geometry, GGA-PBE.

extended XYZ file:
```
4
Lattice="0.000 2.821 2.821 2.821 0.000 2.821 2.821 2.821 0.000" Properties=species:S:1:pos:R:3 pbc="T T T"
Hf 0.000 0.000 0.000
H 4.231 4.231 4.231
H 1.410 1.410 1.410
Au 2.821 2.821 2.821
```

HfHAu3: optimized geometry, GGA-PBE.

extended XYZ file:
```
5
Lattice="5.314 0.000 0.000 0.000 5.314 0.000 0.000 0.000 5.314" Properties=species:S:1:pos:R:3 pbc="T T T"
Au 2.657 0.000 0.000
Au 0.000 0.000 2.657
Au 0.000 2.657 0.000
H 2.657 2.657 2.657
Hf 0.000 0.000 0.000
```

HfH3Au: optimized geometry, GGA-PBE.

extended XYZ file:
```
5
Lattice="-2.960 -1.986 0.876 0.331 -1.877 -3.137 2.145 -2.451 1.692" Properties=species:S:1:pos:R:3 pbc="T T T"
H -1.480 -0.993 0.438
H 1.073 -1.225 0.846
H 0.165 -0.938 -1.568
Au 0.000 0.000 0.000
Hf -0.242 -3.157 -0.284
```

Hf2HAu: optimized geometry, GGA-PBE.

extended XYZ file:
```
8
Lattice="3.294 0.001 0.000 0.002 5.704 -0.017 -1.648 -2.827 6.957" Properties=species:S:1:pos:R:3 pbc="T T T"
Au 0.702 0.952 6.616
Au 2.348 3.789 3.590
Hf 0.701 2.320 1.629
Hf 0.700 -1.904 5.885
Hf -0.945 0.939 4.338
Hf 0.701 -0.458 1.638
H 0.701 0.926 0.139
H 0.701 0.935 3.127
```

HfHAu2: optimized geometry, GGA-PBE.

extended XYZ file:
```
8
Lattice="-0.441 3.219 -1.157 -5.192 -2.474 -4.902 -1.130 1.817 5.488" Properties=species:S:1:pos:R:3 pbc="T T T"
Au -1.236 2.543 -0.164
Au -4.550 -0.755 -2.935
Au -5.527 0.020 -0.408
Au -2.214 3.317 2.364
Hf -4.172 2.405 0.570
Hf -2.591 0.158 -1.142
H -3.739 1.799 -1.282
H -3.025 0.764 0.710
```

Hf4HAu2: optimized geometry, GGA-PBE.

extended XYZ file:
```
7
Lattice="4.142 0.000 0.000 0.000 4.142 0.000 2.071 2.071 7.470" Properties=species:S:1:pos:R:3 pbc="T T T"
Hf 2.071 2.071 4.771
Hf 2.071 0.000 0.000
Hf 0.000 2.071 0.000
Hf 4.142 4.142 2.699
H 0.000 0.000 0.000
Au 2.071 2.071 2.089
Au 4.142 4.142 5.381
```

Hf2HAu: optimized geometry, GGA-PBE.

extended XYZ file:
```
8
Lattice="-2.753 3.820 2.157 -4.329 -1.953 -2.066 -4.294 -2.143 4.531" Properties=species:S:1:pos:R:3 pbc="T T T"
Au -5.294 1.305 3.367
Au 0.000 0.000 0.000
Hf -4.531 -0.713 0.431
Hf -6.517 -1.196 3.127
Hf -2.927 1.042 1.903
Hf -8.776 0.316 3.784
H -6.082 -1.581 1.255
H -3.541 0.933 0.045
```

Hf2HAu2: optimized geometry, GGA-PBE.

extended XYZ file:
```
10
Lattice="-0.271 2.972 1.625 -5.958 2.821 -6.153 -3.891 -3.485 2.170" Properties=species:S:1:pos:R:3 pbc="T T T"
H -4.225 -1.114 1.331
H -4.944 2.972 -2.707
Hf -4.769 1.038 -2.694
Hf -5.702 3.767 -4.289
Hf -5.884 -0.765 0.417
Hf -3.436 0.364 2.314
Au -7.341 1.356 -3.706
Au -7.103 1.705 -0.751
Au -1.664 -0.038 -0.209
Au -4.154 1.603 -0.072
```

E_tot: -6.176, -4.971, -7.939, -4.488, -4.928, -3.601, -4.303, -7.010, -5.318, -7.371, -6.498, -6.385 (eV/atom)